1.
DFT (PBE) results for crystalline InRePbO6 at its relaxed geometry.

POSCAR file:
```
InRePbO6
1.0
-2.3179 -1.9673 -4.5975
3.1154 -1.0570 -4.4224
0.7563 -4.8391 1.6894
In Re Pb O
1 1 1 6
Cartesian
0.9099 -4.4355 -5.1686
0.6440 -3.4276 -2.1618
-2.3177 -1.9672 -4.5973
1.2637 -1.8504 -1.2808
-0.1895 -4.1936 -0.6237
0.2728 -5.0089 -3.1664
2.3286 -4.1492 -1.6242
1.2524 -2.7452 -3.8387
-1.0637 -2.6180 -2.4376
```

Values from the calculation:
uncorrected formation energy	-1.4265	eV per atom
calculated volume	136.3	Å³ per cell

***

2.
DFT (PBE) results for crystalline Cs2LiCu2Br7 at its relaxed geometry.

POSCAR file:
```
Cs2LiCu2Br7
1.0
-2.7775 -1.5217 -4.1959
1.3866 -4.9916 0.8926
-11.6704 -4.9053 6.2056
Cs Li Cu Br
2 1 2 7
Cartesian
-5.2672 -7.0920 -0.5256
-7.7941 -4.3266 3.4279
0.0000 0.0000 0.0000
-10.3467 -7.8624 3.1058
-2.7146 -3.5562 -0.2035
-0.6954 -3.2567 -1.6516
-4.7470 -3.8605 1.2522
-8.3142 -7.5581 1.6501
-3.8721 -4.2829 -2.4678
-1.7897 -6.0181 0.0769
-11.2716 -5.4004 2.8254
-9.1891 -7.1357 5.3701
```

Values from the calculation:
uncorrected formation energy	-0.9059	eV per atom
calculated volume	375.8	Å³ per cell

***

3.
DFT (PBE) results for crystalline Tb2PaSb at its relaxed geometry.

POSCAR file:
```
Tb2PaSb
1.0
-4.0723 -0.3399 -1.9360
0.8538 -4.6596 -0.9779
-1.9215 -1.2462 4.2605
Sb Pa Tb
1 1 2
Cartesian
-2.0362 -0.1700 -0.9680
-2.5700 -3.1229 0.6733
-0.9607 -0.6231 2.1303
0.4269 -2.3298 -0.4889
```

Values from the calculation:
uncorrected formation energy	-0.2921	eV per atom
calculated volume	105.8	Å³ per cell